A relaxed ZrInTc2 crystal. Source: Alexandria, functional PBEsol.

Cell and atoms, written as POSCAR:
```
ZrInTc2
1.0
-0.593 -0.058 -2.911
2.383 -1.717 -0.451
-4.453 -6.454 1.035
Tc Zr In
2 1 1
Cartesian
-0.162 -0.234 0.038 Tc
-0.062 -2.274 -1.459 Tc
-2.102 -3.046 0.489 Zr
-2.564 -5.901 -0.877 In
```

Values from the calculation:
Formation enthalpy at 0 K = -132 meV/atom
Mass density = 9.6 Mg/m³
Fermi-level density of states = 3.21 states/eV/cell